No. 1
Entry from Alexandria: a relaxed NbVTe2 crystal (PBE).

SG   R-3m
Energy relative to the elements, uncorrected   0.8 eV/f.u.
V   25.06 A^3/atom
Calculated total energy   -24.692 eV per formula unit
Excess energy over the best structure of this formula in the dataset   1.496 eV per formula unit

abc: 9.4657 9.4657 9.4657
angles: 21.55 21.55 21.55
Last column: nearest neighbours and their distance in Å.
Sites, in units of the cell vectors:
Nb1 0.5000 0.5000 0.5000  6 Te 2.80
Te1 0.9025 0.9025 0.9025  1 V 2.70, 3 Nb 2.80
Te2 0.0975 0.0975 0.0975  1 V 2.70, 3 Nb 2.80
V1 0.0000 0.0000 0.0000  2 Te 2.70

No. 2
Entry from Alexandria: a relaxed NbVTe2 crystal (PBE).

SG   Fm-3m
Energy relative to the elements, uncorrected   0.0 eV/f.u.
V   19.87 A^3/atom
Calculated total energy   -25.506 eV per formula unit
Excess energy over the best structure of this formula in the dataset   0.682 eV per formula unit

abc: 4.8260 4.8260 4.8260
angles: 60.00 60.00 60.00
Last column: nearest neighbours and their distance in Å.
Sites, in units of the cell vectors:
Nb1 0.5000 0.5000 0.5000  8 Te 2.96
Te1 0.2500 0.2500 0.2500  4 Nb 2.96, 4 V 2.96
Te2 0.7500 0.7500 0.7500  4 Nb 2.96, 4 V 2.96
V1 0.0000 0.0000 0.0000  8 Te 2.96

No. 3
Entry from Alexandria: a relaxed NbVTe5 crystal (PBE).

SG   C2/c
Energy relative to the elements, uncorrected   -0.4 eV/f.u.
V   30.35 A^3/atom
Calculated total energy   -35.337 eV per formula unit

abc: 6.8854 6.8854 9.6229
angles: 77.17 77.17 76.09
Last column: nearest neighbours and their distance in Å.
Sites, in units of the cell vectors:
Nb1 0.5678 0.4322 0.2500  7 Te 2.75-3.00
Nb2 0.4322 0.5678 0.7500  7 Te 2.75-3.00
V1 0.0000 0.0000 0.0000  6 Te 2.57-2.78
V2 0.0000 0.0000 0.5000  6 Te 2.57-2.78
Te1 0.8466 0.6638 0.0988  1 V 2.67, 1 Nb 2.75
Te2 0.2697 0.6320 0.4752  1 V 2.78, 2 Nb 2.97-3.00
Te3 0.6638 0.8466 0.5988  1 V 2.67, 1 Nb 2.75
Te4 0.8921 0.1079 0.2500  2 V 2.57, 1 Nb 2.75
Te5 0.3680 0.7303 0.0248  1 V 2.78, 2 Nb 2.97-3.00
Te6 0.6320 0.2697 0.9752  1 V 2.78, 2 Nb 2.97-3.00
Te7 0.1079 0.8921 0.7500  2 V 2.57, 1 Nb 2.75
Te8 0.3362 0.1534 0.4012  1 V 2.67, 1 Nb 2.75
Te9 0.7303 0.3680 0.5248  1 V 2.78, 2 Nb 2.97-3.00
Te10 0.1534 0.3362 0.9012  1 V 2.67, 1 Nb 2.75

No. 4
Entry from Alexandria: a relaxed NbV2Te4 crystal (PBE).

SG   C2/m
Energy relative to the elements, uncorrected   -2.0 eV/f.u.
V   22.61 A^3/atom
Calculated total energy   -42.861 eV per formula unit

abc: 3.5377 6.6682 7.8390
angles: 117.73 103.04 90.00
Last column: nearest neighbours and their distance in Å.
Sites, in units of the cell vectors:
Nb1 0.0000 0.0000 0.0000  6 Te 2.78-2.83
V1 0.7459 0.8191 0.4918  5 Te 2.63-2.85
V2 0.2541 0.1809 0.5082  5 Te 2.63-2.85
Te1 0.8929 0.2401 0.7858  3 V 2.63-2.64, 1 Nb 2.78
Te2 0.1071 0.7599 0.2142  3 V 2.63-2.64, 1 Nb 2.78
Te3 0.6454 0.3163 0.2908  2 Nb 2.83, 3 V 2.85-2.95
Te4 0.3546 0.6837 0.7092  2 Nb 2.83, 3 V 2.85-2.95

No. 5
Entry from Alexandria: a relaxed NbV3Te crystal (PBE).

SG   Pm-3m
Energy relative to the elements, uncorrected   7.1 eV/f.u.
V   21.34 A^3/atom
Calculated total energy   -33.439 eV per formula unit
Excess energy over the best structure of this formula in the dataset   0.701 eV per formula unit

abc: 4.7428 4.7428 4.7428
angles: 90.00 90.00 90.00
Last column: nearest neighbours and their distance in Å.
Sites, in units of the cell vectors:
Nb1 0.5000 0.5000 0.5000  12 V 3.35
Te1 0.0000 0.0000 0.0000  6 V 2.37
V1 0.0000 0.5000 0.0000  2 Te 2.37
V2 0.0000 0.0000 0.5000  2 Te 2.37
V3 0.5000 0.0000 0.0000  2 Te 2.37

No. 6
Entry from Alexandria: a relaxed Nb2V3Te8 crystal (PBE).

SG   C2/m
Energy relative to the elements, uncorrected   -2.2 eV/f.u.
V   26.95 A^3/atom
Calculated total energy   -74.843 eV per formula unit

abc: 6.9749 7.8837 7.8373
angles: 120.20 107.05 90.00
Last column: nearest neighbours and their distance in Å.
Sites, in units of the cell vectors:
Nb1 0.3145 0.2357 0.4715  6 Te 2.78-2.94
Nb2 0.6855 0.7643 0.5285  6 Te 2.78-2.94
V1 0.5000 0.0000 0.0000  6 Te 2.71-2.77
V2 0.0000 0.2776 0.0000  6 Te 2.66-2.80
V3 0.0000 0.7224 0.0000  6 Te 2.66-2.80
Te1 0.8981 0.6209 0.2417  2 V 2.66, 1 Nb 2.82
Te2 0.1019 0.3791 0.7583  2 V 2.66, 1 Nb 2.82
Te3 0.9080 0.1034 0.2067  3 V 2.71-2.79, 1 Nb 2.79
Te4 0.0920 0.8966 0.7933  3 V 2.71-2.79, 1 Nb 2.79
Te5 0.5861 0.6251 0.7607  2 V 2.77-2.80, 2 Nb 2.78-2.94
Te6 0.5861 0.1356 0.7607  2 V 2.77-2.80, 2 Nb 2.78-2.94
Te7 0.4139 0.8644 0.2393  2 V 2.77-2.80, 2 Nb 2.78-2.94
Te8 0.4139 0.3749 0.2393  2 V 2.77-2.80, 2 Nb 2.78-2.94

No. 7
Entry from Alexandria: a relaxed NbVTe4 crystal (PBE).

SG   C2/m
Energy relative to the elements, uncorrected   -0.7 eV/f.u.
V   31.80 A^3/atom
Calculated total energy   -32.502 eV per formula unit
Excess energy over the best structure of this formula in the dataset   1.468 eV per formula unit

abc: 5.4783 8.4771 9.1026
angles: 106.52 90.00 108.85
Last column: nearest neighbours and their distance in Å.
Sites, in units of the cell vectors:
Nb1 0.2188 0.4377 0.2886  5 Te 2.57-2.83
Nb2 0.7812 0.5623 0.7114  5 Te 2.57-2.83
V1 0.1157 0.2314 0.6918  6 Te 2.63-2.77
V2 0.8843 0.7686 0.3082  6 Te 2.63-2.77
Te1 0.0626 0.1252 0.3723  2 V 2.74-2.77, 1 Nb 2.83
Te2 0.1553 0.3105 0.9934  1 Nb 2.57, 1 V 2.63
Te3 0.7241 0.4482 0.3618  1 V 2.76, 3 Nb 2.81-3.04
Te4 0.6008 0.2016 0.6456  2 V 2.77, 1 Nb 2.77
Te5 0.3992 0.7984 0.3544  2 V 2.77, 1 Nb 2.77
Te6 0.2759 0.5518 0.6382  1 V 2.76, 3 Nb 2.81-3.04
Te7 0.8447 0.6895 0.0066  1 Nb 2.57, 1 V 2.63
Te8 0.9374 0.8748 0.6277  2 V 2.74-2.77, 1 Nb 2.83

No. 8
Entry from Alexandria: a relaxed Nb2VTe crystal (PBE).

SG   I-42d
Energy relative to the elements, uncorrected   1.7 eV/f.u.
V   19.81 A^3/atom
Calculated total energy   -30.704 eV per formula unit

abc: 3.9776 3.9776 10.4041
angles: 78.98 78.98 90.00
Last column: nearest neighbours and their distance in Å.
Sites, in units of the cell vectors:
Nb1 0.6261 0.1250 0.2500  4 Nb 2.81-2.82, 2 Te 2.87, 2 V 2.87
Nb2 0.1239 0.6250 0.2500  4 Nb 2.81-2.82, 2 Te 2.87, 2 V 2.87
Nb3 0.3750 0.3739 0.7500  4 Nb 2.81-2.82, 2 Te 2.87, 2 V 2.87
Nb4 0.8750 0.8761 0.7500  4 Nb 2.81-2.82, 2 Te 2.87, 2 V 2.87
Te1 0.0000 0.0000 0.0000  4 V 2.81, 4 Nb 2.87
Te2 0.7500 0.2500 0.5000  4 V 2.81, 4 Nb 2.87
V1 0.5000 0.5000 0.0000  4 Te 2.81, 4 Nb 2.87
V2 0.2500 0.7500 0.5000  4 Te 2.81, 4 Nb 2.87

No. 9
Entry from Alexandria: a relaxed Nb3VTe8 crystal (PBE).

SG   C2/m
Energy relative to the elements, uncorrected   -4.8 eV/f.u.
V   28.95 A^3/atom
Calculated total energy   -69.258 eV per formula unit

abc: 7.3467 7.3442 8.5675
angles: 115.47 90.00 120.01
Last column: nearest neighbours and their distance in Å.
Sites, in units of the cell vectors:
Nb1 0.5000 0.0000 0.0000  6 Te 2.81-2.82
Nb2 0.5000 0.5000 0.0000  6 Te 2.81-2.82
Nb3 0.0000 0.5000 0.0000  6 Te 2.81-2.82
V1 0.0000 0.0000 0.0000  6 Te 2.75
Te1 0.2498 0.4995 0.7503  3 Nb 2.82
Te2 0.7502 0.5005 0.2497  3 Nb 2.82
Te3 0.2439 0.9995 0.7561  1 V 2.75, 2 Nb 2.81
Te4 0.7556 0.9995 0.7561  1 V 2.75, 2 Nb 2.81
Te5 0.7556 0.5112 0.7561  1 V 2.75, 2 Nb 2.81
Te6 0.2444 0.4888 0.2439  1 V 2.75, 2 Nb 2.81
Te7 0.2444 0.0005 0.2439  1 V 2.75, 2 Nb 2.81
Te8 0.7561 0.0005 0.2439  1 V 2.75, 2 Nb 2.81

No. 10
Entry from Alexandria: a relaxed Nb3VTe4 crystal (PBE).

SG   Pmn2_1
Energy relative to the elements, uncorrected   0.0 eV/f.u.
V   22.53 A^3/atom
Calculated total energy   -51.916 eV per formula unit

abc: 5.6526 5.6905 11.2062
angles: 90.00 90.00 90.00
Last column: nearest neighbours and their distance in Å.
Sites, in units of the cell vectors:
Nb1 0.7221 0.6786 0.0000  4 Te 2.81-3.04, 2 Nb 2.83, 1 V 2.92
Nb2 0.9929 0.6896 0.2121  4 Te 2.70-2.89, 1 Nb 2.83
Nb3 0.4929 0.3104 0.2879  4 Te 2.70-2.89, 1 Nb 2.83
Nb4 0.2221 0.3214 0.5000  4 Te 2.81-3.04, 2 Nb 2.83, 1 V 2.92
Nb5 0.4929 0.3104 0.7121  4 Te 2.70-2.89, 1 Nb 2.83
Nb6 0.9929 0.6896 0.7879  4 Te 2.70-2.89, 1 Nb 2.83
V1 0.0249 0.0952 0.0000  5 Te 2.68-2.99, 1 Nb 2.92
V2 0.5249 0.9048 0.5000  5 Te 2.68-2.99, 1 Nb 2.92
Te1 0.2199 0.6650 0.0000  1 V 2.68, 4 Nb 2.70-2.84
Te2 0.5464 0.1842 0.0000  2 V 2.75-2.99, 2 Nb 2.98-3.04
Te3 0.0080 0.1948 0.2402  1 V 2.75, 4 Nb 2.83-3.03
Te4 0.5080 0.8052 0.2598  1 V 2.75, 4 Nb 2.83-3.03
Te5 0.0464 0.8158 0.5000  2 V 2.75-2.99, 2 Nb 2.98-3.04
Te6 0.7199 0.3350 0.5000  1 V 2.68, 4 Nb 2.70-2.84
Te7 0.5080 0.8052 0.7402  1 V 2.75, 4 Nb 2.83-3.03
Te8 0.0080 0.1948 0.7598  1 V 2.75, 4 Nb 2.83-3.03

No. 11
Entry from Alexandria: a relaxed NbVTe2 crystal (PBE).

SG   Pnma
Energy relative to the elements, uncorrected   -0.7 eV/f.u.
V   22.61 A^3/atom
Calculated total energy   -26.188 eV per formula unit
Excess energy over the best structure of this formula in the dataset   0.000 eV per formula unit

abc: 4.1122 7.1985 12.2205
angles: 90.00 90.00 90.00
Last column: nearest neighbours and their distance in Å.
Sites, in units of the cell vectors:
Nb1 0.9383 0.0215 0.0805  4 Te 2.82-2.84, 2 Nb 2.86
Nb2 0.4383 0.9785 0.9195  4 Te 2.82-2.84, 2 Nb 2.86
Nb3 0.4383 0.4785 0.5805  4 Te 2.82-2.84, 2 Nb 2.86
Nb4 0.9383 0.5215 0.4195  4 Te 2.82-2.84, 2 Nb 2.86
V1 0.9382 0.6026 0.9799  2 V 2.58, 6 Te 2.77-2.84
V2 0.4382 0.8974 0.4799  2 V 2.58, 6 Te 2.77-2.84
V3 0.4382 0.3974 0.0201  2 V 2.58, 6 Te 2.77-2.84
V4 0.9382 0.1026 0.5201  2 V 2.58, 6 Te 2.77-2.84
Te1 0.4383 0.6186 0.8279  3 V 2.77-2.84, 1 Nb 2.82
Te2 0.9383 0.3814 0.1721  3 V 2.77-2.84, 1 Nb 2.82
Te3 0.9383 0.8814 0.3279  3 V 2.77-2.84, 1 Nb 2.82
Te4 0.4383 0.1186 0.6721  3 V 2.77-2.84, 1 Nb 2.82
Te5 0.4383 0.7526 0.1079  3 V 2.77-2.80, 3 Nb 2.82-2.84
Te6 0.4383 0.2526 0.3921  3 V 2.77-2.80, 3 Nb 2.82-2.84
Te7 0.9383 0.7474 0.6079  3 V 2.77-2.80, 3 Nb 2.82-2.84
Te8 0.9383 0.2474 0.8921  3 V 2.77-2.80, 3 Nb 2.82-2.84